## PmYNiAu (PBE)

Data for a relaxed PmYNiAu crystal.

Cell and atoms, written as CIF:
```
data_PmYNiAu
_chemical_formula_sum 'Pm4 Y4 Ni4 Au4'
_cell_length_a 7.121
_cell_length_b 7.121
_cell_length_c 7.121
_cell_angle_alpha 90.00
_cell_angle_beta 90.00
_cell_angle_gamma 90.00
_symmetry_space_group_name_H-M 'F -4 3 m'
_symmetry_Int_Tables_number 216
_symmetry_space_group_name_Hall 'F -4 2 3'
loop_
_atom_site_label
_atom_site_fract_x
_atom_site_fract_y
_atom_site_fract_z
Pm1 0.000 0.000 0.000
Y1 0.000 0.000 0.500
Ni1 0.250 0.250 0.250
Au1 0.250 0.250 0.750
```

Density of states at the Fermi level ... 0.68 states/eV/atom
Electronic total energy ... -5.599 eV/atom
Energy above the most stable polymorph in this dataset ... 60 meV/atom

## TmBrO (PBE)

Data for a relaxed TmBrO crystal.

Cell and atoms, written as CIF:
```
data_TmBrO
_chemical_formula_sum 'Tm2 Br2 O2'
_cell_length_a 3.782
_cell_length_b 4.133
_cell_length_c 9.750
_cell_angle_alpha 90.00
_cell_angle_beta 90.00
_cell_angle_gamma 90.00
_symmetry_space_group_name_H-M 'P m m n'
_symmetry_Int_Tables_number 59
loop_
_symmetry_equiv_pos_as_xyz
'x,y,z'
'-x,-y,-z'
'-x+1/2,-y+1/2,z'
'x+1/2,y+1/2,-z'
'x+1/2,-y,-z'
'-x+1/2,y,z'
'-x,y+1/2,-z'
'x,-y+1/2,z'
loop_
_atom_site_label
_atom_site_fract_x
_atom_site_fract_y
_atom_site_fract_z
Tm1 0.250 0.250 0.104
Br1 0.250 0.750 0.684
O1 0.250 0.750 0.024
```

Density of states at the Fermi level ... 0.00 states/eV/atom
Electronic total energy ... -6.635 eV/atom
E_form (uncorrected) ... -2.934 eV/atom

## KMg2Sb (PBE)

Data for a relaxed KMg2Sb crystal.

Cell and atoms, written as CIF:
```
data_KMg2Sb
_chemical_formula_sum 'K1 Mg2 Sb1'
_cell_length_a 3.425
_cell_length_b 4.351
_cell_length_c 8.125
_cell_angle_alpha 90.00
_cell_angle_beta 90.00
_cell_angle_gamma 90.00
_symmetry_space_group_name_H-M 'P m m 2'
_symmetry_Int_Tables_number 25
_symmetry_space_group_name_Hall 'P 2 -2'
loop_
_atom_site_label
_atom_site_fract_x
_atom_site_fract_y
_atom_site_fract_z
K1 0.000 0.000 0.000
Mg1 0.000 0.000 0.534
Mg2 0.500 0.500 0.332
Sb1 0.500 0.500 0.702
```

Density of states at the Fermi level ... 0.28 states/eV/atom
Electronic total energy ... -2.242 eV/atom
E_form (uncorrected) ... -0.140 eV/atom

## BaHf2Tc (PBE)

Data for a relaxed BaHf2Tc crystal.

Cell and atoms, written as CIF:
```
data_BaHf2Tc
_chemical_formula_sum 'Ba4 Hf8 Tc4'
_cell_length_a 5.998
_cell_length_b 5.998
_cell_length_c 16.047
_cell_angle_alpha 90.00
_cell_angle_beta 90.00
_cell_angle_gamma 90.00
_symmetry_space_group_name_H-M 'I 41/a m d'
_symmetry_Int_Tables_number 141
loop_
_symmetry_equiv_pos_as_xyz
'x,y,z'
'-x,-y,-z'
'-y+1/4,x+3/4,z+1/4'
'y+1/4,-x+3/4,-z+1/4'
'-x+1/2,-y,z+1/2'
'x+1/2,y,-z+1/2'
'y+1/4,-x+1/4,z+3/4'
'-y+1/4,x+1/4,-z+3/4'
'x,-y,-z'
'-x,y,z'
'-y+1/4,-x+1/4,-z+3/4'
'y+1/4,x+1/4,z+3/4'
'-x+1/2,y,-z+1/2'
'x+1/2,-y,z+1/2'
'y+1/4,x+3/4,-z+1/4'
'-y+1/4,-x+3/4,z+1/4'
'x+1/2,y+1/2,z+1/2'
'-x+1/2,-y+1/2,-z+1/2'
'-y+3/4,x+1/4,z+3/4'
'y+3/4,-x+1/4,-z+3/4'
'-x,-y+1/2,z'
'x,y+1/2,-z'
'y+3/4,-x+3/4,z+1/4'
'-y+3/4,x+3/4,-z+1/4'
'x+1/2,-y+1/2,-z+1/2'
'-x+1/2,y+1/2,z+1/2'
'-y+3/4,-x+3/4,-z+1/4'
'y+3/4,x+3/4,z+1/4'
'-x,y+1/2,-z'
'x,-y+1/2,z'
'y+3/4,x+1/4,-z+3/4'
'-y+3/4,-x+1/4,z+3/4'
loop_
_atom_site_label
_atom_site_fract_x
_atom_site_fract_y
_atom_site_fract_z
Ba1 0.000 0.250 0.375
Hf1 0.000 0.000 0.000
Tc1 0.000 0.250 0.875
```

Density of states at the Fermi level ... 1.39 states/eV/atom
Electronic total energy ... -7.036 eV/atom
Energy above the most stable polymorph in this dataset ... 308 meV/atom

## MgAlAs3 (PBE)

Data for a relaxed MgAlAs3 crystal.

Cell and atoms, written as CIF:
```
data_MgAlAs3
_chemical_formula_sum 'Mg1 Al1 As3'
_cell_length_a 4.974
_cell_length_b 4.974
_cell_length_c 4.974
_cell_angle_alpha 90.00
_cell_angle_beta 90.00
_cell_angle_gamma 90.00
_symmetry_space_group_name_H-M 'P m -3 m'
_symmetry_Int_Tables_number 221
_symmetry_space_group_name_Hall '-P 4 2 3'
loop_
_atom_site_label
_atom_site_fract_x
_atom_site_fract_y
_atom_site_fract_z
Mg1 0.000 0.000 0.000
Al1 0.500 0.500 0.500
As1 0.000 0.000 0.500
```

Density of states at the Fermi level ... 0.76 states/eV/atom
Electronic total energy ... -3.118 eV/atom
Energy above the most stable polymorph in this dataset ... 360 meV/atom

## BeRu (PBE)

Data for a relaxed BeRu crystal.

Cell and atoms, written as CIF:
```
data_BeRu
_chemical_formula_sum 'Be2 Ru2'
_cell_length_a 3.7651
_cell_length_b 3.7651
_cell_length_c 4.3692
_cell_angle_alpha 90.00
_cell_angle_beta 90.00
_cell_angle_gamma 120.00
_symmetry_space_group_name_H-M 'P 63/m m c'
_symmetry_Int_Tables_number 194
_symmetry_space_group_name_Hall '-P 6c 2c'
loop_
_atom_site_label
_atom_site_fract_x
_atom_site_fract_y
_atom_site_fract_z
Be1 0.3333 0.6667 0.2500
Ru1 0.3333 0.6667 0.7500
```

Density of states at the Fermi level ... 0.39 states/eV/atom
Electronic total energy ... -5.993 eV/atom